Density functional theory data (PBE) for InTe2MoN after structural relaxation.

Computed properties:
**E_tot**: -5.51 eV per atom
**Formation energy without anion corrections**: 0.6 eV per formula unit
**Offset from the most stable computed form**: 0 meV per atom

Lattice parameters (Å, degrees): 5.561 5.561 3.828 90.00 90.00 90.00
Fractional positions:
In (0.000, 0.000, 0.000)
Te (0.000, 0.500, 0.500)
Te (0.500, 0.000, 0.500)
Mo (0.500, 0.500, 0.500)
N (0.500, 0.500, 0.000)

=====

Density functional theory data (PBE) for ZrHgAu2 after structural relaxation.

Computed properties:
**E_tot**: -3.76 eV per atom
**Formation energy**: 0.09 eV per atom

Lattice parameters (Å, degrees): 6.490 6.490 6.490 154.27 132.46 54.83
Fractional positions:
Zr (0.000, 0.000, 0.000)
Hg (0.500, 0.500, 0.000)
Au (0.240, 0.240, 0.000)
Au (0.760, 0.760, 0.000)

=====

Density functional theory data (PBE) for SrCdN after structural relaxation.

Computed properties:
**E_tot**: -3.90 eV per atom
**Formation energy without anion corrections**: -0.8 eV per formula unit
**Offset from the most stable computed form**: 26 meV per atom

Lattice parameters (Å, degrees): 10.009 10.009 10.009 157.68 157.68 31.77
Fractional positions:
Sr (0.188, 0.188, 0.000)
Sr (0.812, 0.812, 0.000)
Cd (0.430, 0.430, 0.000)
Cd (0.570, 0.570, 0.000)
N (0.321, 0.321, 0.000)
N (0.679, 0.679, 0.000)

=====

Density functional theory data (PBE) for CoRh2C2 after structural relaxation.

Computed properties:
**E_tot**: -7.39 eV per atom
**Formation energy**: 0.66 eV per atom
**Offset from the most stable computed form**: 0 meV per atom

Lattice parameters (Å, degrees): 4.599 4.599 4.599 132.01 132.01 70.21
Fractional positions:
Co (0.000, 0.000, 0.000)
Rh (0.250, 0.750, 0.500)
Rh (0.750, 0.250, 0.500)
C (0.403, 0.403, 0.000)
C (0.597, 0.597, 0.000)

=====

Density functional theory data (PBE) for TbPu2Se3 after structural relaxation.

Computed properties:
**E_tot**: -8.92 eV per atom
**Formation energy without anion corrections**: -9.8 eV per formula unit

Lattice parameters (Å, degrees): 7.144 7.144 7.144 146.37 131.75 60.09
Fractional positions:
Tb (0.000, 0.000, 0.000)
Pu (0.333, 0.333, 0.000)
Pu (0.667, 0.667, 0.000)
Se (0.166, 0.666, 0.500)
Se (0.500, 0.000, 0.500)
Se (0.834, 0.334, 0.500)

=====

Density functional theory data (PBE) for Pr3SnPd4 after structural relaxation.

Computed properties:
**E_tot**: -5.56 eV per atom
**Formation energy**: -0.67 eV per atom

Lattice parameters (Å, degrees): 8.427 8.427 8.427 152.40 132.85 55.51
Fractional positions:
Pr (0.000, 0.000, 0.000)
Pr (0.311, 0.811, 0.500)
Pr (0.689, 0.189, 0.500)
Sn (0.500, 0.500, 0.000)
Pd (0.075, 0.375, 0.700)
Pd (0.326, 0.625, 0.700)
Pd (0.674, 0.375, 0.300)
Pd (0.925, 0.625, 0.300)

=====

Density functional theory data (PBE) for CsCd2InPb after structural relaxation.

Computed properties:
**E_tot**: -1.91 eV per atom
**Formation energy**: -0.08 eV per atom

Lattice parameters (Å, degrees): 7.402 7.402 7.402 139.54 138.75 59.16
Fractional positions:
Cs (0.000, 0.000, 0.000)
Cd (0.623, 0.623, 0.000)
Cd (0.750, 0.250, 0.500)
In (0.242, 0.742, 0.500)
Pb (0.380, 0.380, 0.000)

=====

Density functional theory data (PBE) for LuThBe after structural relaxation.

Computed properties:
**E_tot**: -5.08 eV per atom
**Formation energy**: 0.14 eV per atom

Lattice parameters (Å, degrees): 6.602 6.602 6.602 150.11 150.11 42.78
Fractional positions:
Lu (0.000, 0.000, 0.000)
Th (0.717, 0.717, 0.000)
Be (0.368, 0.368, 0.000)

=====

Density functional theory data (PBE) for UIn2Hg after structural relaxation.

Computed properties:
**E_tot**: -4.11 eV per atom
**Formation energy**: 0.16 eV per atom
**Offset from the most stable computed form**: 83 meV per atom

Lattice parameters (Å, degrees): 3.059 3.059 10.401 90.00 90.00 90.00
Fractional positions:
U (0.000, 0.000, 0.000)
In (0.500, 0.500, 0.242)
In (0.500, 0.500, 0.758)
Hg (0.000, 0.000, 0.500)

=====

Density functional theory data (PBE) for CsTlCdHg3 after structural relaxation.

Computed properties:
**E_tot**: -0.90 eV per atom
**Formation energy**: -0.06 eV per atom

Lattice parameters (Å, degrees): 8.427 8.427 7.788 90.00 90.00 127.89
Fractional positions:
Cs (0.204, 0.796, 0.750)
Cs (0.796, 0.204, 0.250)
Tl (0.126, 0.874, 0.250)
Tl (0.874, 0.126, 0.750)
Cd (0.447, 0.553, 0.750)
Cd (0.553, 0.447, 0.250)
Hg (0.218, 0.218, 0.000)
Hg (0.218, 0.218, 0.500)
Hg (0.347, 0.653, 0.250)
Hg (0.653, 0.347, 0.750)
Hg (0.782, 0.782, 0.000)
Hg (0.782, 0.782, 0.500)

=====

Density functional theory data (PBE) for Nb4VRh2 after structural relaxation.

Computed properties:
**E_tot**: -8.45 eV per atom
**Formation energy**: 0.70 eV per atom

Lattice parameters (Å, degrees): 7.324 7.324 7.324 143.97 143.97 51.87
Fractional positions:
Nb (0.000, 0.500, 0.500)
Nb (0.193, 0.193, 0.000)
Nb (0.500, 0.000, 0.500)
Nb (0.807, 0.807, 0.000)
V (0.000, 0.000, 0.000)
Rh (0.379, 0.379, 0.000)
Rh (0.621, 0.621, 0.000)

=====

Density functional theory data (PBE) for VH2AuN after structural relaxation.

Computed properties:
**E_tot**: -5.63 eV per atom
**Offset from the most stable computed form**: 114 meV per atom

Lattice parameters (Å, degrees): 2.772 2.772 7.072 90.00 90.00 90.00
Fractional positions:
V (0.000, 0.000, 0.000)
H (0.000, 0.000, 0.261)
H (0.000, 0.000, 0.739)
Au (0.000, 0.000, 0.500)
N (0.500, 0.500, 0.000)